## ZrIrI2 (SCAN)

Data for a PBEsol-optimized structure of ZrIrI2.

abc: 6.3930 7.2507 6.3930
angles: 63.84 90.00 116.16
With the nearest neighbours (Å) after each atom.
Positions (direct):
Ir 0.7500 0.5000 0.7500  4 I 2.56
Ir 0.0000 0.0000 0.0000  4 I 2.56
Zr 0.2500 0.5000 0.2500  4 I 2.79
Zr 0.5000 0.0000 0.5000  4 I 2.79
I 0.0953 0.7500 0.8750  2 Ir 2.56, 2 Zr 2.79
I 0.3750 0.2500 0.0953  2 Ir 2.56, 2 Zr 2.79
I 0.6547 0.7500 0.3750  2 Ir 2.56, 2 Zr 2.79
I 0.8750 0.2500 0.6547  2 Ir 2.56, 2 Zr 2.79

Values from the calculation:
As for the space group: No. 122. For the uncorrected formation energy, the calculation gives 2.58 eV/f.u. For the magnetization, the calculation gives 0.004 μB per formula unit.